The following is a GGA-PBE calculation of an optimized crystal structure of Li3InAg3, from Alexandria via LeMat-Bulk.

abc: 7.056 7.056 7.395
angles: 61.51 61.51 60.00
Fractional coordinates of all 14 atoms:
Li (0.559, 0.725, 0.637)
Li (0.725, 0.079, 0.637)
Li (0.079, 0.559, 0.637)
Li (0.921, 0.441, 0.363)
Li (0.275, 0.921, 0.363)
Li (0.441, 0.275, 0.363)
In (0.342, 0.342, 0.973)
In (0.658, 0.658, 0.027)
Ag (0.178, 0.705, 0.193)
Ag (0.925, 0.178, 0.193)
Ag (0.705, 0.925, 0.193)
Ag (0.295, 0.075, 0.807)
Ag (0.075, 0.822, 0.807)
Ag (0.822, 0.295, 0.807)

Energy of formation   -119.9 meV/atom
Electronic total energy   -17.87 eV per formula unit
Relative energy among the computed polymorphs   48.2 meV/atom
Space-group type   No. 148

---

The following is a GGA-PBE calculation of an optimized crystal structure of LiIn2Ag8, from Alexandria via LeMat-Bulk.

abc: 4.329 6.720 7.691
angles: 107.87 106.35 90.00
Fractional coordinates of all 11 atoms:
Li (0.500, 0.000, 0.000)
In (0.775, 0.353, 0.551)
In (0.225, 0.647, 0.449)
Ag (0.412, 0.553, 0.823)
Ag (0.676, 0.910, 0.353)
Ag (0.867, 0.823, 0.734)
Ag (0.957, 0.271, 0.914)
Ag (0.133, 0.177, 0.266)
Ag (0.324, 0.090, 0.647)
Ag (0.588, 0.447, 0.177)
Ag (0.043, 0.729, 0.086)

Energy of formation   -64.3 meV/atom
Electronic total energy   -30.91 eV per formula unit
Space-group type   No. 12

---

The following is a GGA-PBE calculation of an optimized crystal structure of Li4InAg5, from Alexandria via LeMat-Bulk.

abc: 5.346 6.369 6.369
angles: 79.86 65.19 65.19
Fractional coordinates of all 10 atoms:
Li (0.329, 0.385, 0.878)
Li (0.714, 0.878, 0.615)
Li (0.206, 0.122, 0.385)
Li (0.591, 0.615, 0.122)
In (0.173, 0.000, 0.000)
Ag (0.896, 0.394, 0.720)
Ag (0.290, 0.720, 0.606)
Ag (0.616, 0.280, 0.394)
Ag (0.010, 0.606, 0.280)
Ag (0.687, 0.000, 0.000)

Energy of formation   -66.6 meV/atom
Electronic total energy   -25.32 eV per formula unit
Relative energy among the computed polymorphs   113.8 meV/atom
Space-group type   No. 79

---

The following is a GGA-PBE calculation of an optimized crystal structure of Li2InAg, from Alexandria via LeMat-Bulk.

abc: 8.827 8.827 8.827
angles: 20.96 20.96 20.96
Fractional coordinates of all 4 atoms:
Ag (0.250, 0.250, 0.250)
In (0.750, 0.750, 0.750)
Li (0.996, 0.996, 0.996)
Li (0.504, 0.504, 0.504)

Energy of formation   -118.8 meV/atom
Electronic total energy   -9.89 eV per formula unit
Space-group type   No. 166

---

> Which value of electronic total energy does entry 3 give?

-25.32 eV per formula unit

---

> Which of these has the highest energy of formation?

LiIn2Ag8